[1]
This record from Alexandria via LeMat-Bulk describes an optimized crystal structure of K2TlAg. The functional is PBEsol.

## Properties
Final energy ... -2.03 eV/atom
E_form ... 0.0177 eV per atom
Size of the total moment ... 0.00 μB/atom

Cell: 4.963 4.963 21.540 Å, 90.00 90.00 120.00°
Positions (direct):
K (0.000, 0.000, 0.000)
K (0.000, 0.000, 0.192)
K (0.333, 0.667, 0.667)
K (0.333, 0.667, 0.859)
K (0.667, 0.333, 0.333)
K (0.667, 0.333, 0.526)
Tl (0.000, 0.000, 0.429)
Tl (0.333, 0.667, 0.096)
Tl (0.667, 0.333, 0.763)
Ag (0.000, 0.000, 0.764)
Ag (0.333, 0.667, 0.430)
Ag (0.667, 0.333, 0.097)

[2]
This record from Alexandria via LeMat-Bulk describes an optimized crystal structure of Zr2SbTe. The functional is PBEsol.

## Properties
Final energy ... -7.31 eV/atom
Size of the total moment ... 0.00 μB/atom

Cell: 4.983 4.983 3.507 Å, 90.00 90.00 90.00°
Positions (direct):
Zr (0.000, 0.500, 0.000)
Zr (0.500, 0.000, 0.000)
Sb (0.000, 0.000, 0.500)
Te (0.500, 0.500, 0.500)